# 1
## La3Cu2Sn3 (PBE)

Data for an optimized crystal structure of La3Cu2Sn3.

The calculation puts the energy at -159.8 eV for the cell shown.

The space group is Cmcm (No. 63) and the conventional cell measures 4.644, 11.465 and 15.701 Å, with angles of 90.00, 90.00 and 90.00 degrees. The distinct sites, in fractional coordinates, are La at (0.000, 0.086, 0.110), La at (0.000, 0.368, 0.250), Cu at (0.000, 0.212, 0.599), Sn at (0.000, 0.336, 0.750) and Sn at (0.000, 0.375, 0.040).

***

# 2
## ReAg (PBE)

Data for an optimized crystal structure of ReAg.

As for the polymorph energy (0 for the lowest one): 1.071 eV/atom.

The space group is P4_2/mnm (No. 136) and the conventional cell measures 8.749, 8.749 and 2.573 Å, with angles of 90.00, 90.00 and 90.00 degrees. The distinct sites, in fractional coordinates, are Re at (0.096, 0.096, 0.000) and Ag at (0.204, 0.796, 0.000).

***

Total magnetic moment / μB per atom: 0.08; 0.00